Record 1
First-principles (GGA-PBE) data for an optimized crystal structure of Er2MnI8, as listed in the Alexandria database.

It has space group C2/m (No. 12), with a = 21.680 Å, b = 4.050 Å, c = 11.186 Å, α = 90.00°, β = 93.05° and γ = 90.00°. The asymmetric unit holds Er at (0.150, 0.000, 0.256), Mn at (0.000, 0.500, 0.000), I at (0.002, 0.000, 0.819), I at (0.098, 0.500, 0.426), I at (0.135, 0.500, 0.042) and I at (0.243, 0.000, 0.707).

For the energy relative to the elements, uncorrected, the calculation gives -1.080 eV/atom. Its crystal system is monoclinic.

Record 2
First-principles (GGA-PBE) data for an optimized crystal structure of KCdI3, as listed in the Alexandria database.

It has space group P-1 (No. 2), with a = 5.499 Å, b = 9.275 Å, c = 9.280 Å, α = 73.91°, β = 89.48° and γ = 89.49°. The asymmetric unit holds K at (0.224, 0.219, 0.218), Cd at (0.000, 0.319, 0.681), I at (0.252, 0.606, 0.606), I at (0.255, 0.063, 0.669) and I at (0.255, 0.668, 0.063).

For the energy relative to the elements, uncorrected, the calculation gives -0.929 eV/atom. The value obtained for the relative energy among the computed polymorphs is 6 kJ/mol of formula units. Its crystal system is triclinic.

Record 3
First-principles (GGA-PBE) data for an optimized crystal structure of Nd2Sm3Ho4, as listed in the Alexandria database.

It has space group P-1 (No. 2), with a = 6.220 Å, b = 6.224 Å, c = 8.033 Å, α = 82.49°, β = 75.10° and γ = 80.53°. The asymmetric unit holds Nd at (0.168, 0.332, 0.333), Sm at (0.057, 0.110, 0.778), Sm at (0.500, 0.000, 0.000), Ho at (0.277, 0.554, 0.889) and Ho at (0.390, 0.775, 0.445).

The value obtained for the relative energy among the computed polymorphs is 0 kJ/mol of formula units. Its calculated formation energy is 0.019 eV/atom. Its crystal system is triclinic.

Record 4
First-principles (GGA-PBE) data for an optimized crystal structure of BaZn2AsO6, as listed in the Alexandria database.

It has space group C2/c (No. 15), with a = 10.993 Å, b = 10.148 Å, c = 6.907 Å, α = 90.00°, β = 123.19° and γ = 90.00°. The asymmetric unit holds Ba at (0.000, 0.182, 0.250), Zn at (0.168, 0.449, 0.098), As at (0.000, 0.172, 0.750), O at (0.100, 0.262, 0.998), O at (0.110, 0.072, 0.706) and O at (0.133, 0.434, 0.351).

For the energy relative to the elements, uncorrected, the calculation gives -1.538 eV/atom. Its crystal system is monoclinic.

Record 5
First-principles (GGA-PBE) data for an optimized crystal structure of DyThPd6, as listed in the Alexandria database.

It has space group P4/mmm (No. 123), with a = 4.172 Å, b = 4.172 Å, c = 8.309 Å, α = 90.00°, β = 90.00° and γ = 90.00°. The asymmetric unit holds Dy at (0.000, 0.000, 0.000), Th at (0.000, 0.000, 0.500), Pd at (0.000, 0.500, 0.248), Pd at (0.500, 0.500, 0.000) and Pd at (0.500, 0.500, 0.500).

Its calculated formation energy is -0.961 eV/atom. Its crystal system is tetragonal.

Record 6
First-principles (GGA-PBE) data for an optimized crystal structure of Ac3Pu3ScSe8, as listed in the Alexandria database.

It has space group R-3m (No. 166, hexagonal axes), with a = 8.4534 Å, b = 8.4534 Å, c = 21.4284 Å, α = 90.00°, β = 90.00° and γ = 120.00°. The asymmetric unit holds Ac at (0.0000, 0.5000, 0.0000), Pu at (0.0000, 0.5000, 0.5000), Sc at (0.0000, 0.0000, 0.5000), Se at (0.0000, 0.0000, 0.2424) and Se at (0.0127, 0.5064, 0.2405).

For the energy relative to the elements, uncorrected, the calculation gives -1.701 eV/atom. Its crystal system is trigonal.

Record 7
First-principles (GGA-PBE) data for an optimized crystal structure of Fe2Rh3, as listed in the Alexandria database.

It has space group P-3m1 (No. 164), with a = 2.6942 Å, b = 2.6942 Å, c = 10.7080 Å, α = 90.00°, β = 90.00° and γ = 120.00°. The asymmetric unit holds Fe at (0.3333, 0.6667, 0.3005), Rh at (0.0000, 0.0000, 0.5000) and Rh at (0.3333, 0.6667, 0.8936).

The value obtained for the relative energy among the computed polymorphs is 3 kJ/mol of formula units. Its calculated formation energy is -0.001 eV/atom. Its crystal system is trigonal.

Record 8
First-principles (GGA-PBE) data for an optimized crystal structure of Rb2PrGaO4, as listed in the Alexandria database.

It has space group I-4 (No. 82), with a = 6.133 Å, b = 6.133 Å, c = 8.854 Å, α = 90.00°, β = 90.00° and γ = 90.00°. The asymmetric unit holds Rb at (0.000, 0.000, 0.000), Rb at (0.000, 0.500, 0.250), Pr at (0.000, 0.000, 0.500), Ga at (0.000, 0.500, 0.750) and O at (0.138, 0.720, 0.636).

For the energy relative to the elements, uncorrected, the calculation gives -2.112 eV/atom. Its crystal system is tetragonal.

Record 9
First-principles (GGA-PBE) data for an optimized crystal structure of CdSeI, as listed in the Alexandria database.

It has space group P1 (No. 1), with a = 4.339 Å, b = 6.553 Å, c = 7.900 Å, α = 77.62°, β = 86.85° and γ = 74.35°. The asymmetric unit holds Cd at (0.000, 0.000, 0.000), Cd at (0.373, 0.359, 0.661), Se at (0.460, 0.051, 0.197), Se at (0.977, 0.120, 0.659), I at (0.250, 0.522, 0.977) and I at (0.675, 0.654, 0.401).

For the energy relative to the elements, uncorrected, the calculation gives -0.356 eV/atom. The value obtained for the relative energy among the computed polymorphs is 30 kJ/mol of formula units. Its crystal system is triclinic.

Record 10
First-principles (GGA-PBE) data for an optimized crystal structure of PuGeB, as listed in the Alexandria database.

It has space group C2/m (No. 12), with a = 10.493 Å, b = 3.453 Å, c = 5.795 Å, α = 90.00°, β = 99.26° and γ = 90.00°. The asymmetric unit holds Pu at (0.172, 0.000, 0.205), Ge at (0.089, 0.000, 0.685) and B at (0.048, 0.500, 0.894).

Its calculated formation energy is -0.217 eV/atom. Its crystal system is monoclinic.

Record 11
First-principles (GGA-PBE) data for an optimized crystal structure of La2DyTh3As6, as listed in the Alexandria database.

It has space group C2/m (No. 12), with a = 18.623 Å, b = 4.273 Å, c = 8.535 Å, α = 90.00°, β = 103.30° and γ = 90.00°. The asymmetric unit holds La at (0.166, 0.000, 0.332), Dy at (0.000, 0.500, 0.000), Th at (0.000, 0.500, 0.500), Th at (0.168, 0.000, 0.835), As at (0.002, 0.000, 0.755), As at (0.164, 0.500, 0.077) and As at (0.165, 0.500, 0.588).

Its calculated formation energy is -1.486 eV/atom. Its crystal system is monoclinic.

Record 12
First-principles (GGA-PBE) data for an optimized crystal structure of AcAsF, as listed in the Alexandria database.

It has space group F-43m (No. 216), with a = 6.958 Å, b = 6.958 Å, c = 6.958 Å, α = 90.00°, β = 90.00° and γ = 90.00°. The asymmetric unit holds Ac at (0.000, 0.000, 0.000), As at (0.250, 0.250, 0.750) and F at (0.250, 0.250, 0.250).

For the energy relative to the elements, uncorrected, the calculation gives -1.765 eV/atom. The value obtained for the relative energy among the computed polymorphs is 130 kJ/mol of formula units. Its crystal system is cubic.

Record 13
First-principles (GGA-PBE) data for an optimized crystal structure of KMgCd6Ag, as listed in the Alexandria database.

It has space group Imma (No. 74), with a = 5.794 Å, b = 10.133 Å, c = 17.735 Å, α = 90.00°, β = 90.00° and γ = 90.00°. The asymmetric unit holds K at (0.000, 0.250, 0.067), Mg at (0.000, 0.000, 0.500), Cd at (0.000, 0.250, 0.273), Cd at (0.000, 0.250, 0.889), Cd at (0.245, 0.006, 0.660) and Ag at (0.250, 0.250, 0.750).

Its calculated formation energy is 0.125 eV/atom. Its crystal system is orthorhombic.

Record 14
First-principles (GGA-PBE) data for an optimized crystal structure of TmCd3Ni8, as listed in the Alexandria database.

It has space group R3m (No. 160, hexagonal axes), with a = 4.9295 Å, b = 4.9295 Å, c = 24.0952 Å, α = 90.00°, β = 90.00° and γ = 120.00°. The asymmetric unit holds Tm at (0.0000, 0.0000, 0.0000), Cd at (0.0000, 0.0000, 0.3788), Cd at (0.0000, 0.0000, 0.5017), Cd at (0.0000, 0.0000, 0.8732), Ni at (0.0000, 0.0000, 0.1882), Ni at (0.0000, 0.0000, 0.6882), Ni at (0.0003, 0.5002, 0.9380) and Ni at (0.0007, 0.5004, 0.4382).

Its calculated formation energy is -0.158 eV/atom. Its crystal system is trigonal.

Record 15
First-principles (GGA-PBE) data for an optimized crystal structure of Zr2ScCr, as listed in the Alexandria database.

It has space group P4mm (No. 99), with a = 3.312 Å, b = 3.312 Å, c = 7.520 Å, α = 90.00°, β = 90.00° and γ = 90.00°. The asymmetric unit holds Zr at (0.000, 0.000, 0.000), Zr at (0.500, 0.500, 0.275), Sc at (0.500, 0.500, 0.697) and Cr at (0.000, 0.000, 0.479).

The value obtained for the relative energy among the computed polymorphs is 7 kJ/mol of formula units. Its calculated formation energy is 0.162 eV/atom. Its crystal system is tetragonal.

Record 16
First-principles (GGA-PBE) data for an optimized crystal structure of GaSbIr, as listed in the Alexandria database.

It has space group F-43m (No. 216), with a = 6.212 Å, b = 6.212 Å, c = 6.212 Å, α = 90.00°, β = 90.00° and γ = 90.00°. The asymmetric unit holds Ga at (0.000, 0.000, 0.000), Sb at (0.000, 0.000, 0.500) and Ir at (0.250, 0.250, 0.250).

For the energy relative to the elements, uncorrected, the calculation gives -0.304 eV/atom. The value obtained for the relative energy among the computed polymorphs is 0 kJ/mol of formula units. Its crystal system is cubic.

Record 17
First-principles (GGA-PBE) data for an optimized crystal structure of KSrSeI, as listed in the Alexandria database.

It has space group R3m (No. 160, hexagonal axes), with a = 4.5624 Å, b = 4.5624 Å, c = 25.4755 Å, α = 90.00°, β = 90.00° and γ = 120.00°. The asymmetric unit holds K at (0.0000, 0.0000, 0.0000), Sr at (0.0000, 0.0000, 0.1936), Se at (0.0000, 0.0000, 0.5876) and I at (0.0000, 0.0000, 0.4326).

For the energy relative to the elements, uncorrected, the calculation gives -1.618 eV/atom. Its crystal system is trigonal.